[1]
BeV2RhF: relaxed, GGA+U.

Raw total energy: -23.9 eV for the cell shown
SG: P4/mmm
Volume: 68.9 Å³/cell
Total magnetic moment: 1.1 μB/f.u.

Cell lengths 3.933, 4.450, 3.933 Å; angles 90.00, 90.00, 90.00 degrees
Site moments in Bohr magnetons follow the coordinates.
Fractional positions:
F 0.000 0.000 0.000  -0.10
V 0.000 0.000 0.500  0.64
V 0.500 0.000 0.000  0.62
Be 0.500 0.500 0.500  -0.02
Rh 0.000 0.500 0.000  -0.10

---

[2]
BeRhW2F: relaxed, GGA+U.

Raw total energy: -20.8 eV for the cell shown
SG: P4/mmm
Volume: 105.6 Å³/cell
Total magnetic moment: 6.9 μB/f.u.

Cell lengths 5.162, 3.965, 5.162 Å; angles 90.00, 90.00, 90.00 degrees
Site moments in Bohr magnetons follow the coordinates.
Fractional positions:
W 0.500 0.000 0.000  3.21
W 0.000 0.000 0.500  2.93
F 0.000 0.500 0.000  0.02
Be 0.500 0.500 0.500  -0.10
Rh 0.000 0.000 0.000  -0.23